[1]
A relaxed BeFe2Si crystal. Source: Alexandria, functional PBE.

- calculated volume (Å³/f.u.) = 39
- total DFT energy (no corrections) (eV/atom) = -6.88
- formation energy without anion corrections (eV/atom) = -0.361
- symmetry = No. 123

extended XYZ file:
```
4
Lattice="3.7963 0.0000 0.0000 0.0000 3.7963 0.0000 0.0000 0.0000 2.7267" Properties=species:S:1:pos:R:3 pbc="T T T"
Be 0.0000 0.0000 0.0000
Fe 0.0000 1.8981 1.3633
Fe 1.8981 0.0000 1.3633
Si 1.8981 1.8981 0.0000
```

[2]
A relaxed Be2FeSi crystal. Source: Alexandria, functional PBE.

- calculated volume (Å³/f.u.) = 38
- total DFT energy (no corrections) (eV/atom) = -5.52
- formation energy without anion corrections (eV/atom) = -0.190
- symmetry = No. 99

extended XYZ file:
```
4
Lattice="2.8319 0.0000 0.0000 0.0000 2.8319 0.0000 0.0000 0.0000 4.7990" Properties=species:S:1:pos:R:3 pbc="T T T"
Be 0.0000 0.0000 0.0000
Be 1.4159 1.4159 1.0604
Fe 0.0000 0.0000 2.2973
Si 1.4159 1.4159 3.4672
```

[3]
A relaxed Be2FeSi crystal. Source: Alexandria, functional PBE.

- calculated volume (Å³/f.u.) = 42
- total DFT energy (no corrections) (eV/atom) = -5.20
- formation energy without anion corrections (eV/atom) = 0.132
- symmetry = No. 123

extended XYZ file:
```
4
Lattice="2.4246 0.0000 0.0000 0.0000 2.4246 0.0000 0.0000 0.0000 7.1422" Properties=species:S:1:pos:R:3 pbc="T T T"
Be 0.0000 0.0000 1.5984
Be 0.0000 0.0000 5.5437
Fe 1.2123 1.2123 0.0000
Si 1.2123 1.2123 3.5711
```

[4]
A relaxed Be2FeSi crystal. Source: Alexandria, functional PBE.

- calculated volume (Å³/f.u.) = 38
- total DFT energy (no corrections) (eV/atom) = -5.52
- formation energy without anion corrections (eV/atom) = -0.182
- symmetry = No. 123

extended XYZ file:
```
4
Lattice="3.3920 0.0000 0.0000 0.0000 3.3920 0.0000 0.0000 0.0000 3.3437" Properties=species:S:1:pos:R:3 pbc="T T T"
Be 0.0000 1.6960 0.0000
Be 1.6960 0.0000 0.0000
Fe 0.0000 0.0000 1.6719
Si 1.6960 1.6960 1.6719
```